UVPdO6: relaxed, PBE+U.

Cell: 5.3564 5.3564 9.2100 Å, 90.00 90.00 120.00°
Positions (direct):
1 U 0.3333 0.6667 0.2500
2 U 0.6667 0.3333 0.7500
3 V 0.3333 0.6667 0.7500
4 V 0.6667 0.3333 0.2500
5 Pd 0.0000 0.0000 0.0000
6 Pd 0.0000 0.0000 0.5000
7 O 0.0236 0.3719 0.6365
8 O 0.0236 0.6518 0.8635
9 O 0.3482 0.3719 0.8635
10 O 0.3482 0.9764 0.6365
11 O 0.3719 0.0236 0.1365
12 O 0.3719 0.3482 0.3635
13 O 0.6281 0.6518 0.6365
14 O 0.6281 0.9764 0.8635
15 O 0.6518 0.0236 0.3635
16 O 0.6518 0.6281 0.1365
17 O 0.9764 0.3482 0.1365
18 O 0.9764 0.6281 0.3635

Summary:
- Density of states at the Fermi level: 0.342 states/eV per atom
- DFT total energy: -7.916 eV per atom